Record 1
Compound: ReP2Os
Source: Alexandria via LeMat-Bulk
Functional: GGA-PBEsol
Structure: optimized geometry

The structure in CIF format:
```
data_ReP2Os
_chemical_formula_sum 'Re4 P8 Os4'
_space_group_name_H-M_alt 'F m -3 m'
_space_group_IT_number 225
_space_group_name_Hall '-F 4 2 3'
_cell_length_a 5.869
_cell_length_b 5.869
_cell_length_c 5.869
_cell_angle_alpha 90.00
_cell_angle_beta 90.00
_cell_angle_gamma 90.00
loop_
_atom_site_label
_atom_site_fract_x
_atom_site_fract_y
_atom_site_fract_z
Re1 0.000 0.000 0.000
P1 0.250 0.250 0.250
Os1 0.000 0.000 0.500
```

Record 2
Compound: ReP2Os
Source: Alexandria via LeMat-Bulk
Functional: GGA-PBEsol
Structure: optimized geometry

The structure in CIF format:
```
data_ReP2Os
_chemical_formula_sum 'Re2 P4 Os2'
_space_group_name_H-M_alt 'I m m 2'
_space_group_IT_number 44
_cell_length_a 2.907
_cell_length_b 4.003
_cell_length_c 9.182
_cell_angle_alpha 90.00
_cell_angle_beta 90.00
_cell_angle_gamma 90.00
loop_
_space_group_symop_operation_xyz
'x,y,z'
'-x,-y,z'
'-x,y,z'
'x,-y,z'
'x+1/2,y+1/2,z+1/2'
'-x+1/2,-y+1/2,z+1/2'
'-x+1/2,y+1/2,z+1/2'
'x+1/2,-y+1/2,z+1/2'
loop_
_atom_site_label
_atom_site_fract_x
_atom_site_fract_y
_atom_site_fract_z
Re1 0.000 0.000 0.000
P1 0.000 0.000 0.497
P2 0.000 0.500 0.273
Os1 0.000 0.500 0.777
```

Record 3
Compound: P2OsRh
Source: Alexandria via LeMat-Bulk
Functional: GGA-PBEsol
Structure: optimized geometry

The structure in CIF format:
```
data_P2OsRh
_chemical_formula_sum 'P4 Os2 Rh2'
_space_group_name_H-M_alt 'I m m 2'
_space_group_IT_number 44
_cell_length_a 2.927
_cell_length_b 4.026
_cell_length_c 9.154
_cell_angle_alpha 90.00
_cell_angle_beta 90.00
_cell_angle_gamma 90.00
loop_
_space_group_symop_operation_xyz
'x,y,z'
'-x,-y,z'
'-x,y,z'
'x,-y,z'
'x+1/2,y+1/2,z+1/2'
'-x+1/2,-y+1/2,z+1/2'
'-x+1/2,y+1/2,z+1/2'
'x+1/2,-y+1/2,z+1/2'
loop_
_atom_site_label
_atom_site_fract_x
_atom_site_fract_y
_atom_site_fract_z
P1 0.000 0.000 0.000
P2 0.000 0.500 0.224
Os1 0.000 0.000 0.515
Rh1 0.000 0.500 0.726
```

Record 4
Compound: P2OsRh
Source: Alexandria via LeMat-Bulk
Functional: GGA-PBEsol
Structure: optimized geometry

The structure in CIF format:
```
data_P2OsRh
_chemical_formula_sum 'P4 Os2 Rh2'
_space_group_name_H-M_alt 'C 1 m 1'
_space_group_IT_number 8
_cell_length_a 7.460
_cell_length_b 2.906
_cell_length_c 5.313
_cell_angle_alpha 90.00
_cell_angle_beta 90.91
_cell_angle_gamma 90.00
loop_
_space_group_symop_operation_xyz
'x,y,z'
'x,-y,z'
'x+1/2,y+1/2,z'
'x+1/2,-y+1/2,z'
loop_
_atom_site_label
_atom_site_fract_x
_atom_site_fract_y
_atom_site_fract_z
P1 0.000 0.000 0.000
P2 0.161 0.500 0.483
Os1 0.278 0.000 0.185
Rh1 0.392 0.000 0.688
```

It is found that the energy relative to the lowest polymorph listed for this composition values, taken in the order of the records, are 0.00; 5.32; 8.41; 0.00 kcal/mol of atoms.
It is found that the DFT total energy values, taken in the order of the records, are -37.609; -36.686; -32.030; -33.489 eV per formula unit.
It is found that the formation energy values, taken in the order of the records, are -0.120; 0.111; -0.023; -0.388 eV/atom.